CsAlI2N: relaxed, PBE-GGA.

Calculated values
Space-group type: P4/mmm, No. 123
Raw formation energy: 1.020 eV/atom
V: 225.8 Å³/cell
Total energy: -2.18 eV per atom
Magnetic moment: 0.3547 μB/atom

Lattice parameters (Å, degrees): 7.0107 7.0107 4.5946 90.00 90.00 90.00
Atoms (fractional coordinates):
1 Cs 0.0000 0.0000 0.0000
2 Al 0.5000 0.5000 0.5000
3 I 0.0000 0.5000 0.0000
4 I 0.5000 0.0000 0.0000
5 N 0.0000 0.0000 0.5000